No. 1
VASP calculation (PBE-GGA) on crystalline TcOsPb at its relaxed geometry.

N(E_F) in states/eV/cell: 2.14
Calculated volume in Å³/atom: 18.0
Space group: P3m1, No. 156
Energy relative to the elements in eV per atom: 0.669

```
data_TcOsPb
_space_group_name_H-M_alt 'P 1'
_space_group_IT_number 1
_cell_length_a 2.960
_cell_length_b 2.960
_cell_length_c 7.116
_cell_angle_alpha 90.00
_cell_angle_beta 90.00
_cell_angle_gamma 120.00
loop_
_space_group_symop_operation_xyz
'x,y,z'
loop_
_atom_site_label
_atom_site_type_symbol
_atom_site_fract_x
_atom_site_fract_y
_atom_site_fract_z
Tc1 Tc 0.000 0.000 0.000
Os1 Os 0.667 0.333 0.275
Pb1 Pb 0.333 0.667 0.640
```

No. 2
VASP calculation (PBE-GGA) on crystalline TcOs2Pb at its relaxed geometry.

N(E_F) in states/eV/cell: 3.37
Calculated volume in Å³/atom: 16.6
Space group: P4mm, No. 99
Energy relative to the elements in eV per atom: 0.654

```
data_TcOs2Pb
_space_group_name_H-M_alt 'P 1'
_space_group_IT_number 1
_cell_length_a 2.933
_cell_length_b 2.933
_cell_length_c 7.737
_cell_angle_alpha 90.00
_cell_angle_beta 90.00
_cell_angle_gamma 90.00
loop_
_space_group_symop_operation_xyz
'x,y,z'
loop_
_atom_site_label
_atom_site_type_symbol
_atom_site_fract_x
_atom_site_fract_y
_atom_site_fract_z
Tc1 Tc 0.000 0.000 0.000
Os1 Os 0.000 0.000 0.445
Os2 Os 0.500 0.500 0.220
Pb1 Pb 0.500 0.500 0.721
```

No. 3
VASP calculation (PBE-GGA) on crystalline TcOs2Pb at its relaxed geometry.

N(E_F) in states/eV/cell: 9.71
Calculated volume in Å³/atom: 16.4
Space group: I4/mmm, No. 139
Energy relative to the elements in eV per atom: 0.836

```
data_TcOs2Pb
_space_group_name_H-M_alt 'P 1'
_space_group_IT_number 1
_cell_length_a 4.012
_cell_length_b 4.012
_cell_length_c 8.134
_cell_angle_alpha 90.00
_cell_angle_beta 90.00
_cell_angle_gamma 90.00
loop_
_space_group_symop_operation_xyz
'x,y,z'
loop_
_atom_site_label
_atom_site_type_symbol
_atom_site_fract_x
_atom_site_fract_y
_atom_site_fract_z
Tc1 Tc 0.000 0.000 0.000
Tc2 Tc 0.500 0.500 0.500
Os1 Os 0.000 0.500 0.250
Os2 Os 0.000 0.500 0.750
Os3 Os 0.500 0.000 0.250
Os4 Os 0.500 0.000 0.750
Pb1 Pb 0.000 0.000 0.500
Pb2 Pb 0.500 0.500 0.000
```

No. 4
VASP calculation (PBE-GGA) on crystalline TcOs2Pb at its relaxed geometry.

N(E_F) in states/eV/cell: 9.12
Calculated volume in Å³/atom: 16.5
Space group: Immm, No. 71
Energy relative to the elements in eV per atom: 0.924

```
data_TcOs2Pb
_space_group_name_H-M_alt 'P 1'
_space_group_IT_number 1
_cell_length_a 3.063
_cell_length_b 4.669
_cell_length_c 9.212
_cell_angle_alpha 90.00
_cell_angle_beta 90.00
_cell_angle_gamma 90.00
loop_
_space_group_symop_operation_xyz
'x,y,z'
loop_
_atom_site_label
_atom_site_type_symbol
_atom_site_fract_x
_atom_site_fract_y
_atom_site_fract_z
Tc1 Tc 0.000 0.000 0.000
Tc2 Tc 0.500 0.500 0.500
Os1 Os 0.000 0.500 0.249
Os2 Os 0.000 0.500 0.751
Os3 Os 0.500 0.000 0.251
Os4 Os 0.500 0.000 0.749
Pb1 Pb 0.000 0.000 0.500
Pb2 Pb 0.500 0.500 0.000
```

No. 5
VASP calculation (PBE-GGA) on crystalline TcOsPb3 at its relaxed geometry.

N(E_F) in states/eV/cell: 4.92
Calculated volume in Å³/atom: 29.2
Space group: Pm-3m, No. 221
Energy relative to the elements in eV per atom: 1.306

```
data_TcOsPb3
_space_group_name_H-M_alt 'P 1'
_space_group_IT_number 1
_cell_length_a 5.267
_cell_length_b 5.267
_cell_length_c 5.267
_cell_angle_alpha 90.00
_cell_angle_beta 90.00
_cell_angle_gamma 90.00
loop_
_space_group_symop_operation_xyz
'x,y,z'
loop_
_atom_site_label
_atom_site_type_symbol
_atom_site_fract_x
_atom_site_fract_y
_atom_site_fract_z
Tc1 Tc 0.000 0.000 0.000
Os1 Os 0.500 0.500 0.500
Pb1 Pb 0.000 0.500 0.500
Pb2 Pb 0.500 0.000 0.500
Pb3 Pb 0.500 0.500 0.000
```

No. 6
VASP calculation (PBE-GGA) on crystalline TcOs2Pb at its relaxed geometry.

N(E_F) in states/eV/cell: 4.33
Calculated volume in Å³/atom: 17.8
Space group: Pm, No. 6
Energy relative to the elements in eV per atom: 0.682

```
data_TcOs2Pb
_space_group_name_H-M_alt 'P 1'
_space_group_IT_number 1
_cell_length_a 2.828
_cell_length_b 3.734
_cell_length_c 6.858
_cell_angle_alpha 90.00
_cell_angle_beta 99.82
_cell_angle_gamma 90.00
loop_
_space_group_symop_operation_xyz
'x,y,z'
loop_
_atom_site_label
_atom_site_type_symbol
_atom_site_fract_x
_atom_site_fract_y
_atom_site_fract_z
Tc1 Tc 0.000 0.000 0.000
Os1 Os 0.161 0.000 0.384
Os2 Os 0.588 0.500 0.203
Pb1 Pb 0.428 0.500 0.714
```

No. 7
VASP calculation (PBE-GGA) on crystalline TcOs2Pb at its relaxed geometry.

N(E_F) in states/eV/cell: 4.46
Calculated volume in Å³/atom: 17.6
Space group: Pmm2, No. 25
Energy relative to the elements in eV per atom: 0.692

```
data_TcOs2Pb
_space_group_name_H-M_alt 'P 1'
_space_group_IT_number 1
_cell_length_a 2.833
_cell_length_b 3.656
_cell_length_c 6.791
_cell_angle_alpha 90.00
_cell_angle_beta 90.00
_cell_angle_gamma 90.00
loop_
_space_group_symop_operation_xyz
'x,y,z'
loop_
_atom_site_label
_atom_site_type_symbol
_atom_site_fract_x
_atom_site_fract_y
_atom_site_fract_z
Tc1 Tc 0.000 0.000 0.000
Os1 Os 0.000 0.000 0.393
Os2 Os 0.500 0.500 0.200
Pb1 Pb 0.500 0.500 0.697
```

No. 8
VASP calculation (PBE-GGA) on crystalline TcOs2Pb at its relaxed geometry.

N(E_F) in states/eV/cell: 10.72
Calculated volume in Å³/atom: 17.0
Space group: R3m, No. 160
Energy relative to the elements in eV per atom: 0.704

```
data_TcOs2Pb
_space_group_name_H-M_alt 'P 1'
_space_group_IT_number 1
_cell_length_a 2.888
_cell_length_b 2.888
_cell_length_c 28.212
_cell_angle_alpha 90.00
_cell_angle_beta 90.00
_cell_angle_gamma 120.00
loop_
_space_group_symop_operation_xyz
'x,y,z'
loop_
_atom_site_label
_atom_site_type_symbol
_atom_site_fract_x
_atom_site_fract_y
_atom_site_fract_z
Tc1 Tc 0.000 0.000 0.000
Tc2 Tc 0.333 0.667 0.667
Tc3 Tc 0.667 0.333 0.333
Os1 Os 0.000 0.000 0.482
Os2 Os 0.000 0.000 0.741
Os3 Os 0.333 0.667 0.149
Os4 Os 0.333 0.667 0.407
Os5 Os 0.667 0.333 0.074
Os6 Os 0.667 0.333 0.815
Pb1 Pb 0.000 0.000 0.242
Pb2 Pb 0.333 0.667 0.908
Pb3 Pb 0.667 0.333 0.575
```